Density functional theory data (PBE-GGA) for a geometry-optimized ThSb4 structure.

Cell and atoms, written as POSCAR:
```
ThSb4
1.0
5.9990 0.0000 0.0000
0.0000 5.9990 0.0000
0.0000 0.0000 5.9990
Sb Th
4 1
Direct
0.0000 0.0000 0.0000 Sb
0.5000 0.0000 0.5000 Sb
0.0000 0.5000 0.5000 Sb
0.5000 0.5000 0.0000 Sb
0.5000 0.5000 0.5000 Th
```

* size of the total moment: 0.0 μB per formula unit
* N(E_F): 7.954 states/eV/cell
* formation energy without anion corrections: 0.70 eV/atom

=====

Density functional theory data (PBE-GGA) for a geometry-optimized K2OsW structure.

Cell and atoms, written as POSCAR:
```
K2OsW
1.0
6.4985 -0.0074 0.0000
-4.2798 4.8902 0.0000
0.0000 0.0000 2.6705
K Os W
2 1 1
Direct
0.0000 0.0000 0.0000 K
0.5000 0.5000 0.0000 K
0.5000 0.0000 0.5000 Os
0.0000 0.5000 0.5000 W
```

* size of the total moment: 0.0 μB per formula unit
* N(E_F): 1.603 states/eV/cell
* relative energy among the computed polymorphs: 650.8 meV/atom
* formation energy: 1465.5 meV/atom

=====

Density functional theory data (PBE-GGA) for a geometry-optimized KRuRh4 structure.

Cell and atoms, written as POSCAR:
```
KRuRh4
1.0
1.8139 -4.6607 1.5831
0.8191 -0.9002 5.1027
-3.1405 -3.2840 2.6212
K Ru Rh
1 1 4
Direct
0.0000 0.0000 0.0000 K
0.7500 0.7500 0.7500 Ru
0.8734 0.3755 0.3755 Rh
0.3755 0.3755 0.8734 Rh
0.3755 0.8734 0.3755 Rh
0.3755 0.3755 0.3755 Rh
```

* size of the total moment: 3.2 μB per formula unit
* N(E_F): 9.579 states/eV/cell
* formation energy: 729.4 meV/atom

=====

Density functional theory data (PBE-GGA) for a geometry-optimized Y2NbRh structure.

Cell and atoms, written as POSCAR:
```
Y2NbRh
1.0
0.0000 3.5554 3.5554
3.5554 0.0000 3.5554
3.5554 3.5554 0.0000
Y Nb Rh
2 1 1
Direct
0.2500 0.2500 0.2500 Y
0.7500 0.7500 0.7500 Y
0.0000 0.0000 0.0000 Nb
0.5000 0.5000 0.5000 Rh
```

* size of the total moment: 3.1 μB per formula unit
* N(E_F): 3.198 states/eV/cell
* relative energy among the computed polymorphs: 0.0 meV/atom
* formation energy: -22.9 meV/atom